1.
KRbTa2Ag: optimized geometry, PBE.

Cell: 5.1569 6.5300 5.1569 Å, 90.00 90.00 90.00°
Site moments in Bohr magnetons follow the coordinates.
Atoms (fractional coordinates):
K  0.5000  0.5000  0.5000  0.02
Rb  0.0000  0.5000  0.0000  0.01
Ag  0.0000  0.0000  0.0000  0.07
Ta  0.0000  0.0000  0.5000  0.89
Ta  0.5000  0.0000  0.0000  1.08

Calculated values
density	5.7	g/cm³
energy relative to the elements	1.7443	eV per atom
Fermi-level density of states	1.0320	states/eV per atom
space-group type	No. 123

2.
K2RbTlAg: optimized geometry, PBE.

Cell: 6.4235 6.4235 6.6921 Å, 90.00 90.00 90.00°
Atoms (fractional coordinates):
K  0.0000  0.5000  0.0000
K  0.5000  0.0000  0.0000
Tl  0.5000  0.5000  0.5000
Rb  0.0000  0.0000  0.5000
Ag  0.0000  0.0000  0.0000

Calculated values
excess energy over the best structure of this formula in the dataset	0.124	eV/atom
density	2.9	g/cm³
energy relative to the elements	0.1670	eV per atom
Fermi-level density of states	0.9587	states/eV per atom
space-group type	No. 123

3.
K2RbTlAg: optimized geometry, PBE.

Cell: 6.8824 6.8824 5.4837 Å, 90.00 90.00 90.00°
Atoms (fractional coordinates):
K  0.0000  0.5000  0.0000
K  0.5000  0.0000  0.0000
Tl  0.0000  0.0000  0.0000
Rb  0.5000  0.5000  0.5000
Ag  0.0000  0.0000  0.5000

Calculated values
excess energy over the best structure of this formula in the dataset	0.058	eV/atom
density	3.0	g/cm³
energy relative to the elements	0.1008	eV per atom
Fermi-level density of states	0.5811	states/eV per atom
space-group type	No. 123

4.
KRb2Tl12Ag3: optimized geometry, PBE.

Cell: 9.7358 9.7358 9.7358 Å, 62.58 62.58 62.58°
Atoms (fractional coordinates):
K  0.0000  0.0000  0.0000
Rb  0.5873  0.5873  0.5873
Rb  0.4127  0.4127  0.4127
Tl  0.3443  0.3443  0.8931
Tl  0.8327  0.8327  0.4555
Tl  0.4555  0.8327  0.8327
Tl  0.8931  0.3443  0.3443
Tl  0.8327  0.4555  0.8327
Tl  0.3443  0.8931  0.3443
Tl  0.6557  0.6557  0.1069
Tl  0.1673  0.1673  0.5445
Tl  0.5445  0.1673  0.1673
Tl  0.1069  0.6557  0.6557
Tl  0.1673  0.5445  0.1673
Tl  0.6557  0.1069  0.6557
Ag  0.5000  0.0000  0.0000
Ag  0.0000  0.5000  0.0000
Ag  0.0000  0.0000  0.5000

Calculated values
density	7.2	g/cm³
energy relative to the elements	0.1569	eV per atom
Fermi-level density of states	0.4477	states/eV per atom
space-group type	No. 166

5.
K2RbTlAg: optimized geometry, PBE.

Cell: 6.6697 6.6697 5.5102 Å, 90.00 90.00 90.00°
Atoms (fractional coordinates):
K  0.0000  0.5000  0.0000
K  0.5000  0.0000  0.0000
Tl  0.0000  0.0000  0.5000
Rb  0.5000  0.5000  0.5000
Ag  0.0000  0.0000  0.0000

Calculated values
excess energy over the best structure of this formula in the dataset	0.000	eV/atom
density	3.2	g/cm³
energy relative to the elements	0.0428	eV per atom
Fermi-level density of states	0.7646	states/eV per atom
space-group type	No. 123

6.
K6Rb2TlAg: optimized geometry, PBE.

Cell: 9.7352 9.7350 9.7617 Å, 120.03 120.03 90.05°
Atoms (fractional coordinates):
K  0.7493  0.7499  0.0059
K  0.7396  0.7401  0.4791
K  0.2564  0.2568  0.0059
K  0.7496  0.2571  0.0059
K  0.2464  0.2470  0.4929
K  0.2565  0.7501  0.0059
Rb  0.7589  0.2598  0.5181
Rb  0.2593  0.7594  0.5180
Tl  0.9909  0.9914  0.9821
Ag  0.4919  0.4924  0.9841

Calculated values
density	1.8	g/cm³
energy relative to the elements	0.0202	eV per atom
Fermi-level density of states	0.3901	states/eV per atom
space-group type	No. 8

7.
KRbZn2Ag: optimized geometry, PBE.

Cell: 5.2698 5.2698 6.0929 Å, 90.00 90.00 90.00°
Atoms (fractional coordinates):
K  0.0000  0.0000  0.5000
Zn  0.0000  0.5000  0.0000
Zn  0.5000  0.0000  0.0000
Rb  0.5000  0.5000  0.5000
Ag  0.0000  0.0000  0.0000

Calculated values
density	3.6	g/cm³
energy relative to the elements	0.1671	eV per atom
Fermi-level density of states	0.4950	states/eV per atom
space-group type	No. 123

8.
KRbZnAg: optimized geometry, PBE.

Cell: 6.0092 6.0092 6.0092 Å, 60.00 60.00 60.00°
Atoms (fractional coordinates):
K  0.7500  0.7500  0.7500
Zn  0.0000  0.0000  0.0000
Rb  0.2500  0.2500  0.2500
Ag  0.5000  0.5000  0.5000

Calculated values
density	3.2	g/cm³
energy relative to the elements	0.1578	eV per atom
Fermi-level density of states	0.5427	states/eV per atom
space-group type	No. 216

9.
KReAg2: optimized geometry, PBE.

Cell: 10.7851 10.7851 10.7851 Å, 15.43 15.43 15.43°
Atoms (fractional coordinates):
Ag  0.0095  0.0095  0.0095
Ag  0.4905  0.4905  0.4905
K  0.2500  0.2500  0.2500
Re  0.7500  0.7500  0.7500

Calculated values
excess energy over the best structure of this formula in the dataset	0.032	eV/atom
density	9.5	g/cm³
energy relative to the elements	0.7951	eV per atom
Fermi-level density of states	0.9547	states/eV per atom
space-group type	No. 166

10.
KReAg2: optimized geometry, PBE.

Cell: 4.9733 4.9733 4.9733 Å, 60.00 60.00 60.00°
Site moments in Bohr magnetons follow the coordinates.
Atoms (fractional coordinates):
Re  0.5000  0.5000  0.5000  2.71
K  0.0000  0.0000  0.0000  0.01
Ag  0.2500  0.2500  0.2500  0.07
Ag  0.7500  0.7500  0.7500  0.07

Calculated values
excess energy over the best structure of this formula in the dataset	0.517	eV/atom
density	8.4	g/cm³
energy relative to the elements	1.2802	eV per atom
Fermi-level density of states	0.6580	states/eV per atom
space-group type	No. 225

11.
KRe2Ag: optimized geometry, PBE.

Cell: 2.7029 2.7029 10.9796 Å, 90.00 90.00 114.54°
Atoms (fractional coordinates):
Ag  0.5000  0.5000  0.2500
K  0.5000  0.5000  0.7500
Re  0.0000  0.0000  0.0248
Re  0.0000  0.0000  0.4752

Calculated values
excess energy over the best structure of this formula in the dataset	0.419	eV/atom
density	11.8	g/cm³
energy relative to the elements	1.0741	eV per atom
Fermi-level density of states	0.5768	states/eV per atom
space-group type	No. 65

12.
KRe2Ag: optimized geometry, PBE.

Cell: 2.7468 4.8269 5.6297 Å, 90.00 90.00 90.00°
Atoms (fractional coordinates):
Ag  0.5000  0.0000  0.5000
K  0.0000  0.5000  0.5000
Re  0.0000  0.0000  0.0000
Re  0.5000  0.5000  0.0000

Calculated values
excess energy over the best structure of this formula in the dataset	0.561	eV/atom
density	11.6	g/cm³
energy relative to the elements	1.2165	eV per atom
Fermi-level density of states	1.0068	states/eV per atom
space-group type	No. 47